Model A:
Computed, not measured: YHo3Bi2 after structural relaxation at the PBE-GGA level of DFT.

Structure (POSCAR):
```
YHo3Bi2
1.0
9.262 -2.155 0.000
9.262 2.155 0.000
-4.012 0.000 9.148
Y Ho Bi
2 6 4
Cartesian
1.600 0.000 0.997
12.912 0.000 8.151
-1.649 0.000 6.125
5.342 0.000 0.995
4.580 0.000 4.767
9.932 0.000 4.381
9.170 0.000 8.153
16.161 0.000 3.023
1.785 0.000 6.559
8.476 0.000 1.447
6.036 0.000 7.701
12.727 0.000 2.589
```

Calculated values
* N(E_F): 1.0519 states/eV/atom
* calculated volume: 183 Å³/f.u.



Model B:
Computed, not measured: YHo3Bi2 after structural relaxation at the PBE-GGA level of DFT.

Structure (POSCAR):
```
YHo3Bi2
1.0
4.554 0.000 0.000
0.000 4.554 0.000
0.000 0.000 8.570
Y Ho Bi
1 3 2
Cartesian
0.000 0.000 0.000
0.000 2.277 2.952
2.277 0.000 5.619
2.277 2.277 0.000
0.000 2.277 6.127
2.277 0.000 2.443
```

Calculated values
* N(E_F): 0.7840 states/eV/atom
* calculated volume: 178 Å³/f.u.



Structures ranked by computed energy, the most stable listed first: model B, model A.



Model A:
Computed, not measured: YHoBi2 after structural relaxation at the PBE-GGA level of DFT.

Structure (POSCAR):
```
YHoBi2
1.0
2.219 1.281 7.588
-2.219 1.281 7.588
0.000 -2.563 7.588
Y Ho Bi
1 1 2
Cartesian
0.000 0.000 0.000
0.000 0.000 3.880
0.000 0.000 9.508
0.000 0.000 13.348
```

Calculated values
* N(E_F): 0.1326 states/eV/atom
* calculated volume: 129 Å³/f.u.



Model B:
Computed, not measured: YHoBi2 after structural relaxation at the PBE-GGA level of DFT.

Structure (POSCAR):
```
YHoBi2
1.0
3.872 -2.237 0.000
3.872 2.237 0.000
-2.591 0.000 7.302
Y Ho Bi
1 1 2
Cartesian
0.000 0.000 0.000
2.577 0.000 3.651
-0.007 0.000 5.464
5.160 0.000 1.839
```

Calculated values
* N(E_F): 0.1816 states/eV/atom
* calculated volume: 127 Å³/f.u.



Structures ranked by computed energy, the most stable listed first: model B, model A.